Computed, not measured: crystalline Tm3Ag3AsO8 at its relaxed geometry at the PBE-GGA level of DFT.

Geometry as POSCAR:
```
Tm3Ag3AsO8
1.0
6.6695 0.0000 0.0000
-3.3348 5.7751 -0.0263
0.0000 -3.8352 5.7635
Tm Ag As O
3 3 1 8
direct
0.5000 0.0000 0.5000
0.5000 0.5000 0.5000
0.0000 0.5000 0.5000
0.0000 0.0000 0.0000
0.0000 0.5000 0.0000
0.5000 0.5000 0.0000
0.0000 0.0000 0.5000
0.2725 0.5449 0.3181
0.7275 0.4551 0.6819
0.7885 0.5769 0.3158
0.2115 0.4231 0.6842
0.7882 0.0266 0.3157
0.2118 0.9734 0.6843
0.2384 0.0266 0.3157
0.7616 0.9734 0.6843
```

Output
Raw total energy = -95.063 eV for the cell shown
Crystal system = monoclinic
D(E_F) = 0.13 states/eV/atom
ΔE_f (raw) = -1.919 eV/atom
Spin magnetization = 0.000 Bohr magnetons per cell



Computed, not measured: crystalline SbHBr at its relaxed geometry at the PBE-GGA level of DFT.

Geometry as POSCAR:
```
SbHBr
1.0
-0.1815 -0.5729 -5.4959
-4.7525 -2.4794 -1.4064
-3.4601 4.9373 -1.5347
Sb H Br
2 2 2
direct
0.2370 0.5178 0.0161
0.7024 0.0677 0.9664
0.3716 0.6877 0.7895
0.8050 0.1302 0.1924
0.0382 0.3519 0.7067
0.4414 0.7724 0.2733
```

Output
Raw total energy = -19.203 eV for the cell shown
Crystal system = triclinic
Spin magnetization = 0.000 Bohr magnetons per cell



Computed, not measured: crystalline Sm4AgRu2 at its relaxed geometry at the PBE-GGA level of DFT.

Geometry as POSCAR:
```
Sm4AgRu2
1.0
-1.7853 -3.2477 3.3423
-0.8199 -4.7424 -1.3203
6.6163 -4.5579 2.8311
Sm Ag Ru
4 1 2
direct
0.8708 0.8708 0.3876
0.1292 0.1292 0.6124
0.6199 0.6199 0.1402
0.3801 0.3801 0.8598
0.0000 0.0000 0.0000
0.7486 0.7486 0.7543
0.2514 0.2514 0.2457
```

Output
Raw total energy = -41.956 eV for the cell shown
Crystal system = trigonal
D(E_F) = 0.33 states/eV/atom
Formation energy = -0.24 eV/atom
Spin magnetization = 0.000 Bohr magnetons per cell



Computed, not measured: crystalline VPd2Pb at its relaxed geometry at the PBE-GGA level of DFT.

Geometry as POSCAR:
```
VPd2Pb
1.0
3.2322 0.0000 0.0000
0.0000 3.2322 0.0000
0.0000 0.0000 6.8940
Pb Pd V
1 2 1
direct
0.5000 0.5000 0.5000
0.0000 0.0000 0.7932
0.0000 0.0000 0.2068
0.5000 0.5000 0.0000
```

Output
Raw total energy = -23.490 eV for the cell shown
Crystal system = tetragonal
D(E_F) = 1.37 states/eV/atom
Formation energy = -0.07 eV/atom
Spin magnetization = 1.851 Bohr magnetons per cell



Computed, not measured: crystalline Y2WSe at its relaxed geometry at the PBE-GGA level of DFT.

Geometry as POSCAR:
```
Y2WSe
1.0
-3.9893 2.1693 -1.7420
-4.4698 0.8206 1.7328
0.1939 5.3906 2.1191
Se W Y
1 1 2
direct
0.7500 0.7500 0.7500
0.2500 0.2500 0.2500
0.0146 0.0146 0.9904
0.4854 0.4854 0.5096
```

Output
Raw total energy = -28.901 eV for the cell shown
Crystal system = monoclinic
D(E_F) = 0.81 states/eV/atom
ΔE_f (raw) = 0.116 eV/atom
Spin magnetization = 0.000 Bohr magnetons per cell